Material: ReAg2W
Method: DFT, GGA-PBE
State: optimized geometry

The structure belongs to space group R3m (No. 160, hexagonal axes); the cell edges are 2.7923, 2.7923 and 29.4187 Å and the angles 90.00°, 90.00° and 120.00°. The distinct sites, in fractional coordinates, are Re at (0.0000, 0.0000, 0.0000), Ag at (0.0000, 0.0000, 0.2488), Ag at (0.0000, 0.0000, 0.4967) and W at (0.0000, 0.0000, 0.7444).

For the total magnetization, the calculation gives 0.0 μB per cell. For the relative energy among the computed polymorphs, the calculation gives 0.033 eV per atom. Its density of states at the Fermi level is 8.01 states/eV per cell. The calculation puts the formation energy from the elements at 0.39 eV/atom. The total DFT energy (no corrections) is -7.39 eV/atom.



Material: POsW2
Method: DFT, GGA-PBE
State: optimized geometry

The structure belongs to space group R3m (No. 160, hexagonal axes); the cell edges are 2.8377, 2.8377 and 25.5849 Å and the angles 90.00°, 90.00° and 120.00°. The distinct sites, in fractional coordinates, are P at (0.0000, 0.0000, 0.0000), Os at (0.0000, 0.0000, 0.2595), W at (0.0000, 0.0000, 0.5065) and W at (0.0000, 0.0000, 0.7462).

For the total magnetization, the calculation gives 0.0 μB per cell. Its density of states at the Fermi level is 12.48 states/eV per cell. The calculation puts the formation energy from the elements at 0.22 eV/atom. The total DFT energy (no corrections) is -10.41 eV/atom.



Material: FeMoPd5
Method: DFT, GGA-PBE
State: optimized geometry

The structure belongs to space group Imm2 (No. 44); the cell edges are 5.1563, 6.7852 and 7.0198 Å and the angles 90.00°, 90.00° and 90.00°. The distinct sites, in fractional coordinates, are Fe at (0.0000, 0.0000, 0.0000), Mo at (0.0000, 0.5000, 0.5171), Pd at (0.0000, 0.1882, 0.3389), Pd at (0.0000, 0.5000, 0.8526) and Pd at (0.2429, 0.0000, 0.6772).

For the total magnetization, the calculation gives 5.1 μB per cell. Its density of states at the Fermi level is 13.49 states/eV per cell. The calculation puts the formation energy from the elements at 0.53 eV/atom. The total DFT energy (no corrections) is -5.94 eV/atom.



Material: TaAl4
Method: DFT, GGA-PBE
State: optimized geometry

The structure belongs to space group Im-3m (No. 229); the cell edges are 6.0930, 6.0930 and 6.0930 Å and the angles 90.00°, 90.00° and 90.00°. The distinct sites, in fractional coordinates, are Ta at (0.0000, 0.0000, 0.0000) and Al at (0.2500, 0.2500, 0.2500).

For the total magnetization, the calculation gives 1.7 μB per cell. For the relative energy among the computed polymorphs, the calculation gives 0.423 eV per atom. Its density of states at the Fermi level is 13.11 states/eV per cell. The calculation puts the formation energy from the elements at 0.26 eV/atom. The total DFT energy (no corrections) is -5.11 eV/atom.



Material: CoTe2Se
Method: DFT, GGA-PBE
State: optimized geometry

The structure belongs to space group Pmmm (No. 47); the cell edges are 3.8374, 3.9069 and 8.1735 Å and the angles 90.00°, 90.00° and 90.00°. The distinct sites, in fractional coordinates, are Co at (0.0000, 0.0000, 0.0000), Te at (0.5000, 0.0000, 0.5000), Te at (0.5000, 0.5000, 0.0000) and Se at (0.0000, 0.5000, 0.5000).

For the total magnetization, the calculation gives 2.4 μB per cell. Its density of states at the Fermi level is 4.46 states/eV per cell. The raw formation energy comes out at 0.5173 eV per atom. The total DFT energy (no corrections) is -3.70 eV/atom.



Material: Hf4FeTc2
Method: DFT, GGA-PBE
State: optimized geometry

The structure belongs to space group I4/mmm (No. 139); the cell edges are 6.3662, 6.3662 and 6.4777 Å and the angles 90.00°, 90.00° and 90.00°. The distinct sites, in fractional coordinates, are Hf at (0.2500, 0.2500, 0.2500), Fe at (0.0000, 0.0000, 0.0000) and Tc at (0.0000, 0.5000, 0.0000).

For the total magnetization, the calculation gives 0.0 μB per cell. Its density of states at the Fermi level is 12.73 states/eV per cell. The calculation puts the formation energy from the elements at -0.21 eV/atom. The total DFT energy (no corrections) is -10.07 eV/atom.